1.
This record from Alexandria via LeMat-Bulk describes an optimized crystal structure of Cs2TlCl2F4. The functional is PBE.

POSCAR file:
```
Cs2TlCl2F4
1.0
-3.721 3.721 3.982
3.721 -3.721 3.982
3.721 3.721 -3.982
Cs Tl Cl F
2 1 2 4
Cartesian
3.721 0.000 1.991
0.000 3.721 1.991
0.000 0.000 0.000
0.000 0.000 2.661
0.000 0.000 5.302
1.522 1.522 0.000
2.199 -2.199 3.982
-2.199 2.199 3.982
2.199 2.199 3.982
```

Computed properties:
The value obtained for the formation energy from raw total energies is -1.79 eV per atom.

***

2.
This record from Alexandria via LeMat-Bulk describes an optimized crystal structure of Cs2TlClF2. The functional is PBE.

POSCAR file:
```
Cs2TlClF2
1.0
5.113 0.000 0.000
0.000 5.113 0.000
0.000 0.000 7.695
Cs Tl Cl F
2 1 1 2
Cartesian
0.000 0.000 1.907
0.000 0.000 5.788
2.557 2.557 0.000
2.557 2.557 3.848
0.000 2.557 0.000
2.557 0.000 0.000
```

Computed properties:
The value obtained for the formation energy from raw total energies is -2.03 eV per atom.

***

3.
This record from Alexandria via LeMat-Bulk describes an optimized crystal structure of CsTlClF. The functional is PBE.

POSCAR file:
```
CsTlClF
1.0
0.000 3.856 3.856
3.856 0.000 3.856
3.856 3.856 0.000
Cs Tl Cl F
1 1 1 1
Cartesian
0.000 0.000 0.000
3.856 3.856 3.856
1.928 1.928 1.928
5.785 5.785 5.785
```

Computed properties:
The value obtained for the formation energy from raw total energies is -1.68 eV per atom. Its energy above the most stable polymorph in this dataset is 130 meV per atom.

***

4.
This record from Alexandria via LeMat-Bulk describes an optimized crystal structure of CsTlClF. The functional is PBE.

POSCAR file:
```
CsTlClF
1.0
4.399 0.000 0.000
1.655 4.087 0.000
0.968 0.766 7.710
Cs Tl Cl F
1 1 1 1
Cartesian
0.000 0.000 0.000
2.838 2.003 3.538
4.873 3.402 5.249
3.923 2.633 1.362
```

Computed properties:
The value obtained for the formation energy from raw total energies is -1.81 eV per atom. Its energy above the most stable polymorph in this dataset is 0 meV per atom.

***

5.
This record from Alexandria via LeMat-Bulk describes an optimized crystal structure of CsTlCl2F. The functional is PBE.

POSCAR file:
```
CsTlCl2F
1.0
5.635 0.000 0.000
0.000 5.635 0.000
0.000 0.000 4.771
Cs Tl Cl F
1 1 2 1
Cartesian
0.000 0.000 0.000
2.818 2.818 2.386
0.000 2.818 2.386
2.818 0.000 2.386
2.818 2.818 0.000
```

Computed properties:
The value obtained for the formation energy from raw total energies is -1.59 eV per atom.

***

6.
This record from Alexandria via LeMat-Bulk describes an optimized crystal structure of CsTmClF3. The functional is PBE.

POSCAR file:
```
CsTmClF3
1.0
2.675 -7.876 0.000
2.675 7.876 0.000
-0.052 0.000 6.991
Cs Tm Cl F
2 2 2 6
Cartesian
2.636 4.164 5.243
2.662 -4.164 1.748
2.662 7.231 1.748
2.636 -7.231 5.243
2.636 0.676 5.243
2.662 -0.676 1.748
2.589 6.729 6.576
2.683 6.729 3.911
2.662 5.081 1.748
2.636 -5.081 5.243
2.615 -6.729 3.080
2.709 -6.729 0.416
```

Computed properties:
The value obtained for the formation energy from raw total energies is -3.33 eV per atom.